The following is a DFT calculation (PBE+U) of SrCaMnO4 after structural relaxation.

## Properties
The spin magnetization comes out at 3.06 μB/f.u. As for the calculated volume: 89.05 Å³/cell. The total energy comes out at -6.724 eV per atom. Its mass density is 4.60 g/cm3.

abc: 3.815 3.815 6.687
angles: 106.58 106.58 90.00
Site moments in Bohr magnetons follow the coordinates.
Fractional coordinates of all 7 atoms:
Sr 0.647 0.647 0.293  0.00
Ca 0.358 0.358 0.717  0.01
Mn 0.999 0.999 0.999  3.03
O 0.162 0.162 0.325  -0.01
O 0.842 0.842 0.685  -0.04
O 0.995 0.495 0.991  -0.01
O 0.495 0.995 0.991  -0.01